# ZrCdHgW2, single point on PBEsol structure, DFT SCAN
data_ZrCdHgW2
_cell_length_a 4.840
_cell_length_b 4.840
_cell_length_c 4.993
_cell_angle_alpha 90.00
_cell_angle_beta 90.00
_cell_angle_gamma 90.00
_symmetry_space_group_name_H-M 'P 4/m m m'
_symmetry_Int_Tables_number 123
_symmetry_space_group_name_Hall '-P 4 2'
loop_
_atom_site_label
_atom_site_type_symbol
_atom_site_fract_x
_atom_site_fract_y
_atom_site_fract_z
_atom_site_occupancy
Zr1 Zr 0.000 0.000 0.000 1
Cd1 Cd 0.000 0.000 0.500 1
Hg1 Hg 0.500 0.500 0.000 1
W1 W 0.000 0.500 0.500 1
# - Raw total energy: -51.3560 eV per atom
# - Spin magnetization: 0.000 μB per cell
# - DOS(E_F): 0.636 states/eV per atom
# - ΔH_f (0 K): 2.375 eV per atom

=====

# BaAs2, single point on PBEsol structure, DFT SCAN
data_BaAs2
_cell_length_a 3.788
_cell_length_b 3.788
_cell_length_c 11.059
_cell_angle_alpha 90.00
_cell_angle_beta 90.00
_cell_angle_gamma 90.00
_symmetry_space_group_name_H-M 'I 4/m m m'
_symmetry_Int_Tables_number 139
_symmetry_space_group_name_Hall '-I 4 2'
loop_
_atom_site_label
_atom_site_type_symbol
_atom_site_fract_x
_atom_site_fract_y
_atom_site_fract_z
_atom_site_occupancy
Ba1 Ba 0.000 0.000 0.000 1
As1 As 0.000 0.000 0.284 1
# - Raw total energy: -27.2682 eV per atom
# - Spin magnetization: 0.000 μB per cell
# - DOS(E_F): 0.202 states/eV per atom
# - ΔH_f (0 K): -0.624 eV per atom